Model a:
Density functional theory data (PBE) for a relaxed KNaCoRe crystal.

Calculated volume in Å³ per cell: 73

The structure in POSCAR format:
```
KNaCoRe
1.0
0.000 3.310 3.310
3.310 0.000 3.310
3.310 3.310 0.000
K Na Re Co
1 1 1 1
direct
0.000 0.000 0.000
0.750 0.750 0.750
0.500 0.500 0.500
0.250 0.250 0.250
```

Model b:
Density functional theory data (PBE) for a relaxed KNaCoRe crystal.

Calculated volume in Å³ per cell: 70

The structure in POSCAR format:
```
KNaCoRe
1.0
-2.918 -3.583 -0.386
-1.045 -2.551 3.729
-4.237 0.250 1.866
Na Re Co K
1 1 1 1
direct
0.750 0.750 0.750
0.250 0.250 0.250
0.500 0.500 0.500
0.000 0.000 0.000
```

Model c:
Density functional theory data (PBE) for a relaxed KNaCoRe crystal.

Calculated volume in Å³ per cell: 89

The structure in POSCAR format:
```
KNaCoRe
1.0
2.312 -1.988 3.975
-2.245 -3.603 2.660
1.722 -4.700 -0.196
Co Na Re K
1 1 1 1
direct
0.000 0.000 0.000
0.750 0.750 0.750
0.500 0.500 0.500
0.250 0.250 0.250
```

Most favorable structure: model b. The second most favorable one is 1.6 kJ/mol of atoms above it.

Model a:
Density functional theory data (PBE) for a relaxed KNbCo crystal.

Calculated volume in Å³ per cell: 63

The structure in POSCAR format:
```
KNbCo
1.0
-0.546 -2.562 3.627
-3.137 -3.191 0.034
1.193 -4.311 -0.106
Co Nb K
1 1 1
direct
0.750 0.750 0.750
0.250 0.250 0.250
0.000 0.000 0.000
```

Model b:
Density functional theory data (PBE) for a relaxed KNbCo crystal.

Calculated volume in Å³ per cell: 64

The structure in POSCAR format:
```
KNbCo
1.0
2.897 -0.887 3.313
-0.535 -3.673 2.526
2.872 -3.429 -0.387
K Co Nb
1 1 1
direct
0.250 0.250 0.250
0.000 0.000 0.000
0.750 0.750 0.750
```

Most favorable structure: model b. The second most favorable one is 97.8 kJ/mol of atoms above it.

Model a:
Density functional theory data (PBE) for a relaxed KNdCoTe3 crystal.

Calculated volume in Å³ per cell: 411

The structure in POSCAR format:
```
KNdCoTe3
1.0
4.344 0.000 0.000
2.172 8.073 0.000
0.000 0.000 11.714
Te Co Nd K
6 2 2 2
direct
0.371 0.258 0.922
0.371 0.258 0.578
0.629 0.742 0.422
0.931 0.138 0.250
0.629 0.742 0.078
0.069 0.862 0.750
0.473 0.055 0.750
0.527 0.945 0.250
0.000 0.000 0.000
0.000 0.000 0.500
0.254 0.492 0.250
0.746 0.508 0.750
```

Model b:
Density functional theory data (PBE) for a relaxed KNdCoTe3 crystal.

Calculated volume in Å³ per cell: 414

The structure in POSCAR format:
```
KNdCoTe3
1.0
9.991 0.000 0.000
0.000 4.315 0.000
-3.052 0.000 9.595
K Te Nd Co
2 6 2 2
direct
0.699 0.250 0.235
0.301 0.750 0.765
0.684 0.750 0.523
0.403 0.750 0.148
0.597 0.250 0.852
0.044 0.250 0.816
0.316 0.250 0.477
0.956 0.750 0.184
0.172 0.250 0.144
0.828 0.750 0.856
0.423 0.750 0.411
0.577 0.250 0.589
```

Most favorable structure: model b. The second most favorable one is 2.0 kJ/mol of atoms above it.